Entry 1:
HgPtRh2 | PBEsol | optimized geometry

Computed properties:
space-group type	Cmmm, No. 65
ΔE_f	6.1	kcal/mol of atoms
total DFT energy (no corrections)	-5.688	eV per atom

Cell: 2.7726 2.7679 9.3443 Å, 90.00 90.00 120.06°
Element x y z (fractional)
Hg1 0.5000 0.0000 0.5000
Pt1 0.5000 0.0000 0.0000
Rh1 0.0000 0.0000 0.7584
Rh2 0.0000 0.0000 0.2416

***

Entry 2:
HgPtRh3 | PBEsol | optimized geometry

Computed properties:
space-group type	Pm-3m, No. 221
ΔE_f	51.3	kcal/mol of atoms
total DFT energy (no corrections)	-4.164	eV per atom

Cell: 4.7671 4.7671 4.7671 Å, 90.00 90.00 90.00°
Element x y z (fractional)
Rh1 0.0000 0.5000 0.0000
Rh2 0.0000 0.0000 0.5000
Rh3 0.5000 0.0000 0.0000
Hg1 0.0000 0.0000 0.0000
Pt1 0.5000 0.5000 0.5000

***

Entry 3:
HgPtRh2 | PBEsol | optimized geometry

Computed properties:
space-group type	Pmmm, No. 47
ΔE_f	5.9	kcal/mol of atoms
total DFT energy (no corrections)	-5.697	eV per atom

Cell: 2.7906 4.6974 4.7269 Å, 90.00 90.00 90.00°
Element x y z (fractional)
Hg1 0.5000 0.5000 0.0000
Pt1 0.0000 0.5000 0.5000
Rh1 0.0000 0.0000 0.0000
Rh2 0.5000 0.0000 0.5000